## BeRuN2F (PBE)

Data for BeRuN2F after structural relaxation.

Structure (POSCAR):
```
BeRuN2F
1.0
3.7185 0.0000 0.0000
0.0000 3.7185 0.0000
0.0000 0.0000 3.1051
Ru N Be F
1 2 1 1
Direct
0.5000 0.5000 0.5000 Ru
0.0000 0.5000 0.0000 N
0.5000 0.0000 0.0000 N
0.0000 0.0000 0.0000 Be
0.0000 0.0000 0.5000 F
```

Computed properties:
* energy above the most stable polymorph in this dataset: 0.00 eV per formula unit
* energy relative to the elements, uncorrected: 0.476 eV/atom
* VASP energy: -29.15 eV per cell
* crystal system: tetragonal
* volume: 8.59 Å³/atom